1.
Density functional theory data (PBE) for a geometry-optimized Tb5Y2Ho2 structure.

Cell lengths 14.844, 11.735, 6.710 Å; angles 90.00, 90.00, 90.00 degrees
Space group Ima2 (No. 46)
Unique sites:
Tb  0.051  0.250  0.000 x8
Tb  0.143  0.735  0.321 x8
Tb  0.250  0.249  0.308 x4
Y  0.127  0.001  0.152 x8
Ho  0.000  0.000  0.687 x4
Ho  0.250  0.511  0.103 x4

Summary:
- Total moment: 0.0 μB/cell
- Energy of formation from the pure elements: 5.099 kcal/mol of atoms
- Energy relative to the lowest polymorph listed for this composition: 84 meV per atom

2.
Density functional theory data (PBE) for a geometry-optimized Rb2ScGeF6 structure.

Cell lengths 6.729, 6.729, 8.534 Å; angles 90.00, 90.00, 90.00 degrees
Space group I4/mmm (No. 139)
Unique sites:
Rb  0.000  0.500  0.250 x4
Sc  0.000  0.000  0.000 x2
Ge  0.000  0.000  0.500 x2
F  0.000  0.000  0.242 x4
F  0.213  0.213  0.000 x8

Summary:
- Total moment: 2.0 μB/cell
- ΔE_f (raw): -27.99 eV/f.u.

3.
Density functional theory data (PBE) for a geometry-optimized CaMn2P structure.

Cell lengths 3.007, 3.007, 7.004 Å; angles 90.00, 90.00, 90.00 degrees
Space group P4/mmm (No. 123)
Unique sites:
Ca  0.000  0.000  0.000 x1
Mn  0.500  0.500  0.329 x2
P  0.000  0.000  0.500 x1

Summary:
- Total moment: 4.4 μB/cell
- Energy of formation from the pure elements: 3.415 kcal/mol of atoms

4.
Density functional theory data (PBE) for a geometry-optimized Y2HgPt structure.

Cell lengths 4.291, 4.291, 10.083 Å; angles 90.00, 90.00, 90.00 degrees
Space group I-4m2 (No. 119)
Unique sites:
Y  0.000  0.000  0.000 x2
Y  0.000  0.500  0.250 x2
Hg  0.000  0.500  0.750 x2
Pt  0.000  0.000  0.500 x2

Summary:
- Total moment: 0.0 μB/cell
- Energy of formation from the pure elements: -14.069 kcal/mol of atoms

5.
Density functional theory data (PBE) for a geometry-optimized Er2PuMgHg4 structure.

Cell lengths 5.1406, 5.1406, 25.8671 Å; angles 90.00, 90.00, 120.00 degrees
Space group R-3m (No. 166, hexagonal axes)
Unique sites:
Er  0.0000  0.0000  0.2467 x6
Pu  0.0000  0.0000  0.0000 x3
Mg  0.0000  0.0000  0.5000 x3
Hg  0.0000  0.0000  0.1264 x6
Hg  0.0000  0.0000  0.3786 x6

Summary:
- Total moment: 18.1 μB/cell
- Energy of formation from the pure elements: -7.636 kcal/mol of atoms

6.
Density functional theory data (PBE) for a geometry-optimized Zr2V2Hg structure.

Cell lengths 7.081, 7.081, 3.779 Å; angles 90.00, 90.00, 90.00 degrees
Space group P4/mbm (No. 127)
Unique sites:
Zr  0.177  0.323  0.000 x4
V  0.116  0.616  0.500 x4
Hg  0.000  0.000  0.500 x2

Summary:
- Total moment: 0.0 μB/cell
- Energy of formation from the pure elements: 1.934 kcal/mol of atoms

7.
Density functional theory data (PBE) for a geometry-optimized ZnMoP2 structure.

Cell lengths 6.146, 6.146, 6.146 Å; angles 90.00, 90.00, 90.00 degrees
Space group F-43m (No. 216)
Unique sites:
Zn  0.000  0.000  0.000 x4
Mo  0.250  0.250  0.750 x4
P  0.000  0.000  0.500 x4
P  0.250  0.250  0.250 x4

Summary:
- Total moment: 1.1 μB/cell
- Energy of formation from the pure elements: 13.388 kcal/mol of atoms

8.
Density functional theory data (PBE) for a geometry-optimized Hf2ZrCd structure.

Cell lengths 7.758, 3.228, 7.862 Å; angles 90.00, 114.19, 90.00 degrees
Space group Pm (No. 6)
Unique sites:
Hf  0.000  0.000  0.000 x1
Hf  0.121  0.500  0.367 x1
Hf  0.367  0.500  0.143 x1
Hf  0.617  0.500  0.903 x1
Zr  0.245  0.000  0.758 x1
Zr  0.487  0.000  0.528 x1
Cd  0.749  0.000  0.275 x1
Cd  0.863  0.500  0.627 x1

Summary:
- Total moment: 0.0 μB/cell
- Energy of formation from the pure elements: 0.169 kcal/mol of atoms

Number 1: density of states at the Fermi level 14.56 states/eV/f.u., V 32.47 Å³/atom. Number 2: density of states at the Fermi level 10.30 states/eV/f.u., V 19.32 Å³/atom. Number 3: density of states at the Fermi level 3.91 states/eV/f.u., V 15.83 Å³/atom. Number 4: density of states at the Fermi level 3.54 states/eV/f.u., V 23.21 Å³/atom. Number 5: density of states at the Fermi level 10.93 states/eV/f.u., V 24.67 Å³/atom. Number 6: density of states at the Fermi level 5.42 states/eV/f.u., V 18.95 Å³/atom. Number 7: density of states at the Fermi level 5.30 states/eV/f.u., V 14.51 Å³/atom. Number 8: density of states at the Fermi level 3.82 states/eV/f.u., V 22.45 Å³/atom.